#w
Computed, not measured: a relaxed VPdRu crystal at the PBE level of DFT.

Total magnetization: 0.00 μB/f.u.
SG: C2/m
DOS(E_F): 0.9549 states/eV/atom

a = 6.5724 Å, b = 2.7735 Å, c = 9.7749 Å
α = 90.00°, β = 106.33°, γ = 90.00°
Atoms (fractional coordinates):
Ru1 0.6780 0.0000 0.9623
Ru2 0.3220 0.5000 0.5377
V1 0.6436 0.5000 0.1816
V2 0.6436 0.0000 0.6816
V3 0.3564 0.0000 0.3184
Ru3 0.3220 0.0000 0.0377
Pd1 0.0408 0.5000 0.1415
Pd2 0.9592 0.0000 0.3585
Ru4 0.6780 0.5000 0.4623
Pd3 0.9592 0.5000 0.8585
V4 0.3564 0.5000 0.8184
Pd4 0.0408 0.0000 0.6415

---

#x
Computed, not measured: a relaxed VPdRu crystal at the PBE level of DFT.

Total magnetization: 0.00 μB/f.u.
SG: P2_1/m
DOS(E_F): 1.0979 states/eV/atom

a = 2.7426 Å, b = 4.2749 Å, c = 7.3098 Å
α = 90.00°, β = 92.06°, γ = 90.00°
Atoms (fractional coordinates):
Ru1 0.2481 0.7500 0.5974
Pd1 0.7539 0.7500 0.9381
Pd2 0.2461 0.2500 0.0619
V1 0.3234 0.7500 0.2702
Ru2 0.7519 0.2500 0.4026
V2 0.6766 0.2500 0.7298

---

#y
Computed, not measured: a relaxed VPdRu crystal at the PBE level of DFT.

Total magnetization: 0.00 μB/f.u.
SG: Cmc2_1
DOS(E_F): 0.8059 states/eV/atom

a = 2.9422 Å, b = 13.0430 Å, c = 4.4544 Å
α = 90.00°, β = 90.00°, γ = 90.00°
Atoms (fractional coordinates):
V1 0.5000 0.4147 0.3044
Ru1 0.0000 0.4303 0.8110
Pd1 0.5000 0.7520 0.4542
Ru2 0.0000 0.5697 0.3110
V2 0.5000 0.5853 0.8044
Ru3 0.5000 0.0697 0.3110
V3 0.0000 0.0853 0.8044
V4 0.0000 0.9147 0.3044
Pd2 0.0000 0.7480 0.9542
Ru4 0.5000 0.9303 0.8110
Pd3 0.5000 0.2480 0.9542
Pd4 0.0000 0.2520 0.4542

---

Which of them is the most stable, and which is the least stable? #y and #x, in that order.